No. 1
This record from Alexandria via LeMat-Bulk describes Ba8LiPdAu2 after structural relaxation. The functional is PBE.

abc: 7.7203 9.7998 8.0015
angles: 90.00 90.55 90.00
Fractional positions:
Ba 0.2290 0.0000 0.3503
Ba 0.2429 0.5000 0.3223
Ba 0.2607 0.2711 0.8290
Ba 0.2607 0.7289 0.8290
Ba 0.7393 0.2711 0.1710
Ba 0.7393 0.7289 0.1710
Ba 0.7571 0.5000 0.6777
Ba 0.7710 0.0000 0.6497
Li 0.5000 0.0000 0.0000
Pd 0.5000 0.5000 0.0000
Au 0.0000 0.2560 0.5000
Au 0.0000 0.7440 0.5000

Values from the calculation:
- Space group: P2/m (10)
- Final energy: -2.7431 eV/atom



No. 2
This record from Alexandria via LeMat-Bulk describes Ba2LiPdAu6 after structural relaxation. The functional is PBE.

abc: 7.1273 7.1273 6.9586
angles: 119.11 119.11 90.91
Fractional positions:
Ba 0.2145 0.7855 0.0000
Ba 0.7855 0.2145 0.0000
Li 0.5000 0.5000 0.5000
Pd 0.0000 0.0000 0.5000
Au 0.2616 0.7384 0.5000
Au 0.3047 0.3047 0.0169
Au 0.3061 0.3061 0.5952
Au 0.6939 0.6939 0.4048
Au 0.6953 0.6953 0.9831
Au 0.7384 0.2616 0.5000

Values from the calculation:
- Space group: C2/m (12)
- Final energy: -3.4821 eV/atom



No. 3
This record from Alexandria via LeMat-Bulk describes Ba2Li3PmAu6 after structural relaxation. The functional is PBE.

abc: 4.8220 4.8220 13.2582
angles: 90.00 90.00 90.00
Fractional positions:
Ba 0.0000 0.0000 0.1686
Ba 0.0000 0.0000 0.8314
Li 0.5000 0.5000 0.0000
Li 0.5000 0.5000 0.4034
Li 0.5000 0.5000 0.5966
Pm 0.0000 0.0000 0.5000
Au 0.0000 0.5000 0.3505
Au 0.0000 0.5000 0.6495
Au 0.5000 0.0000 0.3505
Au 0.5000 0.0000 0.6495
Au 0.5000 0.5000 0.1972
Au 0.5000 0.5000 0.8028

Values from the calculation:
- Space group: P4/mmm (123)
- Final energy: -3.3782 eV/atom



No. 4
This record from Alexandria via LeMat-Bulk describes Ba2Li3PrAu6 after structural relaxation. The functional is PBE.

abc: 4.8324 4.8324 13.3386
angles: 90.00 90.00 90.00
Fractional positions:
Ba 0.0000 0.0000 0.1675
Ba 0.0000 0.0000 0.8325
Li 0.5000 0.5000 0.0000
Li 0.5000 0.5000 0.4016
Li 0.5000 0.5000 0.5984
Pr 0.0000 0.0000 0.5000
Au 0.0000 0.5000 0.3471
Au 0.0000 0.5000 0.6529
Au 0.5000 0.0000 0.3471
Au 0.5000 0.0000 0.6529
Au 0.5000 0.5000 0.1960
Au 0.5000 0.5000 0.8040

Values from the calculation:
- Space group: P4/mmm (123)
- Final energy: -3.3787 eV/atom



Copy entry 2 word for word.
This record from Alexandria via LeMat-Bulk describes Ba2LiPdAu6 after structural relaxation. The functional is PBE.

abc: 7.1273 7.1273 6.9586
angles: 119.11 119.11 90.91
Fractional positions:
Ba 0.2145 0.7855 0.0000
Ba 0.7855 0.2145 0.0000
Li 0.5000 0.5000 0.5000
Pd 0.0000 0.0000 0.5000
Au 0.2616 0.7384 0.5000
Au 0.3047 0.3047 0.0169
Au 0.3061 0.3061 0.5952
Au 0.6939 0.6939 0.4048
Au 0.6953 0.6953 0.9831
Au 0.7384 0.2616 0.5000

Values from the calculation:
- Space group: C2/m (12)
- Final energy: -3.4821 eV/atom



- final energy of number 3 (Ba2Li3PmAu6)?
  -3.3782 eV/atom